[1]
A plane-wave DFT calculation with GGA-PBE was carried out for a geometry-optimized ScAgSb2 structure.

The structure belongs to space group I4/mmm (No. 139); the cell edges are 4.539, 4.539 and 8.929 Å and the angles 90.00°, 90.00° and 90.00°. Symmetry generates all atoms from Sc at (0.000, 0.000, 0.000), Ag at (0.000, 0.000, 0.500) and Sb at (0.000, 0.500, 0.250).

The formation energy from raw total energies comes out at -255 meV per atom. For the total energy, the calculation gives -18.45 eV per formula unit. Its size of the total moment is 0.000 μB per atom.



[2]
A plane-wave DFT calculation with GGA-PBE was carried out for a geometry-optimized TaHgCl4 structure.

The structure belongs to space group C2/c (No. 15); the cell edges are 10.790, 13.271 and 5.969 Å and the angles 90.00°, 107.95° and 90.00°. Symmetry generates all atoms from Ta at (0.000, 0.069, 0.250), Hg at (0.000, 0.437, 0.750), Cl at (0.139, 0.070, 0.668) and Cl at (0.139, 0.186, 0.171).

The formation energy from raw total energies comes out at -1000 meV per atom. For the total energy, the calculation gives -25.54 eV per formula unit. As for the energy above the lowest structure with this stoichiometry: 0.0000 eV/atom. Its size of the total moment is 0.167 μB per atom.